Compound: Ti2CrGaF
Source: Alexandria via LeMat-Bulk
Functional: PBE with a Hubbard U
Structure: relaxed

Structure (CIF):
```
data_Ti2CrGaF
_chemical_formula_sum 'Ti2 Cr1 Ga1 F1'
_symmetry_space_group_name_H-M 'P 1'
_symmetry_Int_Tables_number 1
_cell_length_a 4.980
_cell_length_b 4.980
_cell_length_c 3.720
_cell_angle_alpha 90.00
_cell_angle_beta 90.00
_cell_angle_gamma 90.00
loop_
_symmetry_equiv_pos_as_xyz
'x,y,z'
loop_
_atom_site_label
_atom_site_type_symbol
_atom_site_fract_x
_atom_site_fract_y
_atom_site_fract_z
Ti1 Ti 0.000 0.500 0.000
Ti2 Ti 0.500 0.000 0.000
Cr1 Cr 0.000 0.000 0.000
Ga1 Ga 0.500 0.500 0.500
F1 F 0.000 0.000 0.500
```

Properties
The calculation puts the total magnetization at 1.5 μB/f.u. The value obtained for the energy is -5.43 eV per atom. The space-group type is No. 123.